This record from Alexandria describes LiLa3Ru after structural relaxation. The functional is PBE.

Properties
- ΔE_f: -0.12 eV per atom
- E above lowest polymorph: 0.051 eV/atom

a = 9.9979 Å, b = 6.4700 Å, c = 11.1035 Å
α = 90.00°, β = 122.38°, γ = 90.00°
Space group P2_1/c (No. 14)
Inequivalent atoms, fractional coordinates:
Li 0.1361 0.1920 0.0619 x4
La 0.0128 0.5282 0.7770 x4
La 0.3116 0.7225 0.1631 x4
La 0.3840 0.2494 0.9395 x4
Ru 0.2775 0.7287 0.3946 x4